# GGA-PBE NdGd2N, optimized geometry
# Uncorrected energy, eV/atom: -10.976
# Crystal system: trigonal
# Formation energy (no corrections), eV per atom: -0.662
data_NdGd2N
_chemical_formula_sum 'Nd3 Gd6 N3'
_symmetry_space_group_name_H-M 'R -3 m'
_symmetry_Int_Tables_number 166
_symmetry_space_group_name_Hall '-R 3 2"'
_cell_length_a 3.5081
_cell_length_b 3.5081
_cell_length_c 29.1139
_cell_angle_alpha 90.00
_cell_angle_beta 90.00
_cell_angle_gamma 120.00
loop_
_atom_site_label
_atom_site_type_symbol
_atom_site_fract_x
_atom_site_fract_y
_atom_site_fract_z
_atom_site_occupancy
Nd1 Nd 0.0000 0.0000 0.0000 1
Gd1 Gd 0.0000 0.0000 0.1203 1
N1 N 0.0000 0.0000 0.5000 1